No. 1
The following is a GGA+U calculation of an optimized crystal structure of Rb2NpNi2O6, from Alexandria.

Summary:
* calculated volume: 15.6 A^3/atom
* space-group type: C2/m (12)
* total energy: -6.364 eV/atom

```
Rb2NpNi2O6
1.0
5.4841 -0.0227 -0.0175
-2.7303 4.7562 -0.0175
-1.0722 -1.8430 6.6143
O Rb Ni Np
6 2 2 1
Direct
0.3891 0.0616 0.6661
0.9384 0.6109 0.3339
0.6109 0.9384 0.3339
0.2613 0.2613 0.3359
0.0616 0.3891 0.6661
0.7387 0.7387 0.6641
0.8291 0.1709 0.0000
0.1709 0.8291 0.0000
0.6662 0.3338 0.5000
0.3338 0.6662 0.5000
0.0000 0.0000 0.5000
```



No. 2
The following is a GGA+U calculation of an optimized crystal structure of Np2NiRhO8, from Alexandria.

Summary:
* calculated volume: 11.6 A^3/atom
* DOS(E_F): 11.36 states/eV/f.u.
* space-group type: I-4 (82)
* total energy: -8.088 eV/atom

```
Np2NiRhO8
1.0
5.1386 0.0000 0.0000
0.0000 5.1386 0.0000
-2.5693 -2.5693 5.2555
O Rh Np Ni
8 1 2 1
Direct
0.1112 0.5856 0.7273
0.6252 0.6716 0.7781
0.1530 0.1065 0.7781
0.4144 0.3839 0.2727
0.6161 0.1417 0.7273
0.3284 0.8470 0.2219
0.8583 0.8888 0.2727
0.8935 0.3748 0.2219
0.0000 0.0000 0.0000
0.5000 0.5000 0.0000
0.2500 0.7500 0.5000
0.7500 0.2500 0.5000
```



No. 3
The following is a GGA+U calculation of an optimized crystal structure of NpNi2RhO6, from Alexandria.

Summary:
* calculated volume: 11.4 A^3/atom
* DOS(E_F): 4.33 states/eV/f.u.
* space-group type: P2_1/c (14)
* total energy: -7.014 eV/atom

```
NpNi2RhO6
1.0
-1.8871 -2.3118 4.4537
-4.4148 -1.6416 -2.7227
3.6250 -6.6445 -1.8718
Np O Rh Ni
2 12 2 4
Direct
0.0000 0.5000 0.0000
0.5000 0.0000 0.5000
0.3589 0.9121 0.7559
0.3202 0.6736 0.4076
0.8589 0.5879 0.2559
0.3411 0.6747 0.0538
0.1411 0.4121 0.7441
0.6411 0.0879 0.2441
0.6798 0.3264 0.5924
0.1589 0.1747 0.4462
0.6589 0.3253 0.9462
0.8411 0.8253 0.5538
0.1798 0.1736 0.0924
0.8202 0.8264 0.9076
0.0000 0.5000 0.5000
0.5000 0.0000 0.0000
0.0043 0.0461 0.7205
0.4957 0.5461 0.7795
0.9957 0.9539 0.2795
0.5043 0.4539 0.2205
```



No. 4
The following is a GGA+U calculation of an optimized crystal structure of NpNiRuO6, from Alexandria.

Summary:
* calculated volume: 11.6 A^3/atom
* DOS(E_F): 7.82 states/eV/f.u.
* space-group type: P-31c (163)
* total energy: -7.724 eV/atom

```
NpNiRuO6
1.0
-1.2284 -1.5170 -4.8099
2.0797 -3.3876 3.3383
-8.1909 -2.2637 2.8058
O Np Ni Ru
12 2 2 2
Direct
0.6764 0.6781 0.6259
0.9983 0.6763 0.3741
0.3236 0.3219 0.3741
0.0017 0.3237 0.6259
0.6781 0.6763 0.1259
0.3219 0.3237 0.8741
0.9983 0.3219 0.1259
0.6781 0.0017 0.3741
0.0017 0.6781 0.8741
0.3236 0.0017 0.1259
0.6764 0.9983 0.8741
0.3219 0.9983 0.6259
0.3333 0.6667 0.7500
0.6667 0.3333 0.2500
0.6667 0.3333 0.7500
0.3333 0.6667 0.2500
0.0000 0.0000 0.0000
0.0000 0.0000 0.5000
```



No. 5
The following is a GGA+U calculation of an optimized crystal structure of NpNi2SbO6, from Alexandria.

Summary:
* calculated volume: 14.4 A^3/atom
* DOS(E_F): 3.59 states/eV/f.u.
* space-group type: P4mm (99)
* total energy: -6.623 eV/atom

```
NpNi2SbO6
1.0
4.0168 0.0000 0.0000
0.0000 5.9875 0.0000
0.0000 0.0000 5.9875
Sb O Np Ni
1 6 1 2
Direct
0.7440 0.5000 0.5000
0.7445 0.2588 0.2588
0.2442 0.5000 0.5000
0.7445 0.7412 0.2588
0.7445 0.2588 0.7412
0.2433 0.0000 0.0000
0.7445 0.7412 0.7412
0.7432 0.0000 0.0000
0.7469 0.5000 0.0000
0.7469 0.0000 0.5000
```



No. 6
The following is a GGA+U calculation of an optimized crystal structure of NpSiNi2O6, from Alexandria.

Summary:
* calculated volume: 12.8 A^3/atom
* DOS(E_F): 8.72 states/eV/f.u.
* space-group type: P4mm (99)
* total energy: -6.989 eV/atom

```
NpSiNi2O6
1.0
4.2465 0.0000 0.0000
0.0000 5.4887 0.0000
0.0000 0.0000 5.4887
O Si Ni Np
6 1 2 1
Direct
0.1652 0.5000 0.5000
0.7324 0.7766 0.7766
0.7324 0.7766 0.2234
0.2395 0.0000 0.0000
0.7324 0.2234 0.7766
0.7324 0.2234 0.2234
0.6185 0.0000 0.0000
0.9218 0.0000 0.5000
0.9218 0.5000 0.0000
0.6504 0.5000 0.5000
```



No. 7
The following is a GGA+U calculation of an optimized crystal structure of Sm2NpNiO8, from Alexandria.

Summary:
* calculated volume: 13.5 A^3/atom
* space-group type: P-1 (2)
* total energy: -7.872 eV/atom

```
Sm2NpNiO8
1.0
-3.7232 1.7888 -0.5168
-0.9577 -2.5710 4.5170
2.3863 5.2200 4.8694
O Sm Np Ni
8 2 1 1
Direct
0.9632 0.1781 0.2591
0.9208 0.2861 0.8188
0.6632 0.7499 0.4617
0.0368 0.8219 0.7409
0.3368 0.2501 0.5383
0.4261 0.2252 0.0138
0.5739 0.7748 0.9862
0.0792 0.7139 0.1812
0.4706 0.5513 0.7321
0.5294 0.4487 0.2679
0.0000 0.0000 0.0000
0.0000 0.0000 0.5000
```



No. 8
The following is a GGA+U calculation of an optimized crystal structure of NpNiSn2O8, from Alexandria.

Summary:
* calculated volume: 12.9 A^3/atom
* DOS(E_F): 1.22 states/eV/f.u.
* space-group type: Cmmm (65)
* total energy: -7.147 eV/atom

```
NpNiSn2O8
1.0
4.9391 -0.0111 0.0028
0.0169 4.9361 -0.0068
-0.0062 0.0118 6.3256
O Ni Sn Np
8 1 2 1
Direct
0.1924 0.8067 0.7597
0.6967 0.6974 0.5000
0.8073 0.1934 0.7600
0.8076 0.1933 0.2403
0.3126 0.3116 0.0000
0.3033 0.3026 0.5000
0.6874 0.6884 0.0000
0.1927 0.8066 0.2400
0.0000 0.0000 0.5000
0.4998 0.5002 0.7407
0.5002 0.4998 0.2593
0.0000 0.0000 0.0000
```



No. 9
The following is a GGA+U calculation of an optimized crystal structure of SrNp2NiO8, from Alexandria.

Summary:
* calculated volume: 14.5 A^3/atom
* DOS(E_F): 4.91 states/eV/f.u.
* space-group type: C2/m (12)
* total energy: -8.332 eV/atom

```
SrNp2NiO8
1.0
-4.7876 0.7232 -1.2135
-0.7225 -4.7297 -1.4362
-2.0171 -1.7672 6.4598
Np O Sr Ni
2 8 1 1
Direct
0.5024 0.5024 0.2416
0.4976 0.4976 0.7584
0.2133 0.7867 0.2184
0.3311 0.3322 0.4887
0.2140 0.7873 0.7816
0.7867 0.2133 0.7816
0.3171 0.3180 0.9950
0.6829 0.6820 0.0050
0.7860 0.2127 0.2184
0.6689 0.6678 0.5113
0.0000 0.0000 0.5000
0.0000 0.0000 0.0000
```



No. 10
The following is a GGA+U calculation of an optimized crystal structure of Sr2NpNi3O12, from Alexandria.

Summary:
* calculated volume: 13.2 A^3/atom
* DOS(E_F): 4.10 states/eV/f.u.
* space-group type: R-3m (166)
* total energy: -5.991 eV/atom

```
Sr2NpNi3O12
1.0
-4.5574 -5.3630 -1.7162
0.1984 -6.6675 2.8253
-5.0054 -2.7646 4.4475
O Sr Np Ni
12 2 1 3
Direct
0.6601 0.6601 0.1061
0.0857 0.0857 0.6521
0.0857 0.6521 0.0857
0.8939 0.3399 0.3399
0.3399 0.3399 0.8939
0.1061 0.6601 0.6601
0.6601 0.1061 0.6601
0.9143 0.3479 0.9143
0.6521 0.0857 0.0857
0.3399 0.8939 0.3399
0.9143 0.9143 0.3479
0.3479 0.9143 0.9143
0.6035 0.6035 0.6035
0.3965 0.3965 0.3965
0.0000 0.0000 0.0000
0.0000 0.5000 0.0000
0.5000 0.0000 0.0000
0.0000 0.0000 0.5000
```



No. 11
The following is a GGA+U calculation of an optimized crystal structure of Tb2NpNiO8, from Alexandria.

Summary:
* calculated volume: 13.5 A^3/atom
* space-group type: P-1 (2)
* total energy: -7.890 eV/atom

```
Tb2NpNiO8
1.0
-2.7924 3.4365 -0.2830
-2.1541 -2.7609 -3.7615
-4.5245 -3.7330 4.1457
Np O Ni Tb
1 8 1 2
Direct
0.0000 0.0000 0.0000
0.8644 0.1369 0.2593
0.1143 0.7069 0.1788
0.1356 0.8631 0.7407
0.2940 0.2780 0.4962
0.3783 0.2372 0.0220
0.7060 0.7220 0.5038
0.6217 0.7628 0.9780
0.8857 0.2931 0.8212
0.0000 0.0000 0.5000
0.4172 0.5158 0.7358
0.5828 0.4842 0.2642
```



No. 12
The following is a GGA+U calculation of an optimized crystal structure of NpNiTeO6, from Alexandria.

Summary:
* calculated volume: 13.2 A^3/atom
* space-group type: P-31c (163)
* total energy: -7.011 eV/atom

```
NpNiTeO6
1.0
-4.8328 -1.0631 -2.5607
4.8020 -0.5548 -2.7708
0.5021 -8.4570 2.5635
O Np Ni Te
12 2 2 2
Direct
0.6561 0.6699 0.6287
0.9862 0.6561 0.3713
0.3301 0.3439 0.8713
0.0138 0.6699 0.8713
0.6561 0.9862 0.8713
0.3301 0.9862 0.6287
0.3439 0.3301 0.3713
0.6699 0.6561 0.1287
0.3439 0.0138 0.1287
0.0138 0.3439 0.6287
0.9862 0.3301 0.1287
0.6699 0.0138 0.3713
0.3333 0.6667 0.7500
0.6667 0.3333 0.2500
0.0000 0.0000 0.0000
0.0000 0.0000 0.5000
0.6667 0.3333 0.7500
0.3333 0.6667 0.2500
```



No. 13
The following is a GGA+U calculation of an optimized crystal structure of NpTl3Ni2O6, from Alexandria.

Summary:
* calculated volume: 15.3 A^3/atom
* DOS(E_F): 1.08 states/eV/f.u.
* space-group type: C2/m (12)
* total energy: -5.962 eV/atom

```
NpTl3Ni2O6
1.0
5.5141 -0.0009 -0.0023
-2.7565 4.7757 -0.0023
-0.9621 -1.6659 6.9544
Tl O Ni Np
3 6 2 1
Direct
0.5000 0.5000 0.5000
0.1681 0.8319 0.5000
0.8319 0.1681 0.5000
0.7269 0.7269 0.1543
0.6184 0.9458 0.8457
0.9458 0.6184 0.8457
0.0542 0.3816 0.1543
0.2731 0.2731 0.8457
0.3816 0.0542 0.1543
0.3334 0.6666 0.0000
0.6666 0.3334 0.0000
0.0000 0.0000 0.0000
```



No. 14
The following is a GGA+U calculation of an optimized crystal structure of NpTl2Ni2O6, from Alexandria.

Summary:
* calculated volume: 15.5 A^3/atom
* space-group type: C2/m (12)
* total energy: -6.330 eV/atom

```
NpTl2Ni2O6
1.0
-2.7437 -0.7949 -4.6441
5.1812 -1.6513 0.3947
-2.9988 -4.9134 3.8814
Np Ni Tl O
1 2 2 6
Direct
0.0000 0.0000 0.5000
0.6663 0.3337 0.5000
0.3337 0.6663 0.5000
0.1717 0.8283 0.0000
0.8283 0.1717 0.0000
0.0598 0.3895 0.6651
0.9402 0.6105 0.3349
0.2636 0.2636 0.3372
0.6105 0.9402 0.3349
0.3895 0.0598 0.6651
0.7364 0.7364 0.6628
```



No. 15
The following is a GGA+U calculation of an optimized crystal structure of NpTlNiO6, from Alexandria.

Summary:
* calculated volume: 13.1 A^3/atom
* space-group type: P-31c (163)
* total energy: -6.800 eV/atom

```
NpTlNiO6
1.0
5.4848 0.0000 0.0000
-2.7424 4.7499 0.0000
0.0000 0.0000 9.0696
Ni O Tl Np
2 12 2 2
Direct
0.0000 0.0000 0.5000
0.0000 0.0000 0.0000
0.3466 0.3096 0.3758
0.0370 0.6904 0.8758
0.9630 0.3096 0.1242
0.3096 0.3466 0.8758
0.6904 0.6534 0.1242
0.6534 0.6904 0.6242
0.0370 0.3466 0.6242
0.9630 0.6534 0.3758
0.3466 0.0370 0.1242
0.6904 0.0370 0.3758
0.3096 0.9630 0.6242
0.6534 0.9630 0.8758
0.6667 0.3333 0.7500
0.3333 0.6667 0.2500
0.6667 0.3333 0.2500
0.3333 0.6667 0.7500
```



No. 16
The following is a GGA+U calculation of an optimized crystal structure of TmNpNiO6, from Alexandria.

Summary:
* calculated volume: 13.1 A^3/atom
* space-group type: P-31c (163)
* total energy: -8.050 eV/atom

```
TmNpNiO6
1.0
5.2767 0.0000 0.0000
-2.6384 4.5698 0.0000
0.0000 0.0000 9.7932
O Np Ni Tm
12 2 2 2
Direct
0.6496 0.6585 0.6355
0.6585 0.0088 0.3645
0.6496 0.9912 0.8645
0.9912 0.3415 0.1355
0.3415 0.3504 0.8645
0.3504 0.0088 0.1355
0.3504 0.3415 0.3645
0.0088 0.3504 0.6355
0.0088 0.6585 0.8645
0.6585 0.6496 0.1355
0.9912 0.6496 0.3645
0.3415 0.9912 0.6355
0.3333 0.6667 0.7500
0.6667 0.3333 0.2500
0.6667 0.3333 0.7500
0.3333 0.6667 0.2500
0.0000 0.0000 0.0000
0.0000 0.0000 0.5000
```



No. 17
The following is a GGA+U calculation of an optimized crystal structure of NpVNi2O6, from Alexandria.

Summary:
* calculated volume: 13.8 A^3/atom
* DOS(E_F): 0.85 states/eV/f.u.
* space-group type: P4mm (99)
* total energy: -7.204 eV/atom

```
NpVNi2O6
1.0
-2.5443 -2.2845 -2.2749
-2.2251 -2.3282 4.8268
-3.9745 4.2227 0.2046
O V Ni Np
6 1 2 1
Direct
0.7500 0.7579 0.2421
0.7500 0.2421 0.2421
0.7500 0.2421 0.7579
0.2397 0.5000 0.5000
0.7500 0.7579 0.7579
0.2490 0.0000 0.0000
0.6520 0.0000 0.0000
0.7855 0.0000 0.5000
0.7855 0.5000 0.0000
0.7349 0.5000 0.5000
```



No. 18
The following is a GGA+U calculation of an optimized crystal structure of NpV2NiO8, from Alexandria.

Summary:
* calculated volume: 11.5 A^3/atom
* DOS(E_F): 1.80 states/eV/f.u.
* space-group type: Cmmm (65)
* total energy: -7.908 eV/atom

```
NpV2NiO8
1.0
4.6933 -0.0039 -0.0040
0.0362 4.6926 -0.0059
0.0063 0.0069 6.2407
O V Ni Np
8 2 1 1
Direct
0.3066 0.3064 0.0000
0.2105 0.7893 0.7504
0.2106 0.7892 0.2497
0.6871 0.6873 0.5000
0.7895 0.2107 0.2496
0.6934 0.6936 0.0000
0.3129 0.3127 0.5000
0.7894 0.2108 0.7503
0.4999 0.5001 0.2690
0.5001 0.4999 0.7310
0.0000 0.0000 0.5000
0.0000 0.0000 0.0000
```



No. 19
The following is a GGA+U calculation of an optimized crystal structure of Y2NpNiO8, from Alexandria.

Summary:
* calculated volume: 13.4 A^3/atom
* space-group type: P-1 (2)
* total energy: -8.183 eV/atom

```
Y2NpNiO8
1.0
4.4525 -0.2613 -0.1048
-0.2391 5.1100 0.3046
-0.1144 0.4198 7.1352
O Np Y Ni
8 1 2 1
Direct
0.8643 0.1399 0.2594
0.2956 0.2770 0.4970
0.1357 0.8601 0.7406
0.1155 0.7089 0.1795
0.6226 0.7615 0.9784
0.8845 0.2911 0.8205
0.7044 0.7230 0.5030
0.3774 0.2385 0.0216
0.0000 0.0000 0.0000
0.4199 0.5163 0.7356
0.5801 0.4837 0.2644
0.0000 0.0000 0.5000
```